Entry one
The following is a DFT calculation (GGA-PBEsol) of an optimized crystal structure of Ag2PtRh.

Computed properties:
SG = No. 99
DOS(E_F) = 4.42 states/eV/cell

Cell lengths 2.749, 2.749, 8.101 Å; angles 90.00, 90.00, 90.00 degrees
Atoms (fractional coordinates):
Rh1 0.500 0.500 0.740
Ag1 0.500 0.500 0.254
Pt1 0.000 0.000 0.513
Ag2 0.000 0.000 0.992

=====

Entry two
The following is a DFT calculation (GGA-PBEsol) of an optimized crystal structure of Ag2PtRh.

Computed properties:
SG = No. 123
DOS(E_F) = 6.63 states/eV/cell

Cell lengths 3.840, 3.840, 4.154 Å; angles 90.00, 90.00, 90.00 degrees
Atoms (fractional coordinates):
Pt1 0.500 0.500 0.500
Ag1 0.000 0.500 0.000
Rh1 0.000 0.000 0.500
Ag2 0.500 0.000 0.000

=====

Entry three
The following is a DFT calculation (GGA-PBEsol) of an optimized crystal structure of Ag2PtRh.

Computed properties:
SG = No. 12
DOS(E_F) = 5.10 states/eV/cell

Cell lengths 2.744, 4.778, 4.901 Å; angles 99.26, 106.26, 90.00 degrees
Atoms (fractional coordinates):
Pt1 0.500 0.000 0.000
Ag1 0.251 0.252 0.502
Rh1 0.000 0.500 0.000
Ag2 0.749 0.748 0.498

=====

How do the energies compare? Relative to the most stable structure, in eV/atom: entry one 0.000; entry two 0.142; entry three 0.016.